[1]
# Pm2DyHgO

A geometry-optimized Pm2DyHgO structure (PBE, Alexandria via LeMat-Bulk).

Computed properties:
ΔE_f (raw)   -1363 meV per atom
Fermi-level density of states   2.134 states/eV/cell
E_tot   -5.24 eV/atom

Lattice parameters (Å, degrees): 4.922 4.922 4.762 90.00 90.00 90.00
Space group P4/mmm (No. 123)
Unique sites:
Pm: 0.000 0.500 0.000 [2 per cell]
Dy: 0.000 0.000 0.500 [1 per cell]
Hg: 0.500 0.500 0.500 [1 per cell]
O: 0.000 0.000 0.000 [1 per cell]

---

[2]
# Sr2IBr

A geometry-optimized Sr2IBr structure (PBE, Alexandria via LeMat-Bulk).

Computed properties:
ΔE_f (raw)   -1030 meV per atom
Fermi-level density of states   14.471 states/eV/cell
E above lowest polymorph   0.228 eV per atom
E_tot   -2.68 eV/atom

Lattice parameters (Å, degrees): 8.164 8.164 8.164 90.00 90.00 90.00
Space group Fm-3m (No. 225)
Unique sites:
Sr: 0.250 0.250 0.250 [8 per cell]
I: 0.000 0.000 0.000 [4 per cell]
Br: 0.000 0.000 0.500 [4 per cell]

---

[3]
# BaNaClO

A geometry-optimized BaNaClO structure (PBE, Alexandria via LeMat-Bulk).

Computed properties:
ΔE_f (raw)   -1895 meV per atom
Fermi-level density of states   0.000 states/eV/cell
E_tot   -4.41 eV/atom

Lattice parameters (Å, degrees): 4.2559 4.2559 38.9950 90.00 90.00 120.00
Space group R-3m (No. 166, hexagonal axes)
Unique sites:
Ba: 0.0000 0.0000 0.0787 [6 per cell]
Na: 0.0000 0.0000 0.3143 [6 per cell]
Cl: 0.0000 0.0000 0.2103 [6 per cell]
O: 0.0000 0.0000 0.3740 [6 per cell]